No. 1
This record from the Alexandria database describes CrFeSi2 after structural relaxation. The functional is PBE. Values from VASP.

Properties
Volume: 47.61 Å³/cell
Uncorrected formation energy: 0.11 eV per atom
Fermi-level density of states: 0.69 states/eV per atom
Total magnetic moment: 3.0 μB/f.u.

Structure (Quantum ESPRESSO input):
```
&SYSTEM
  ibrav = 0, nat = 4, ntyp = 3
/
ATOMIC_SPECIES
Cr 52.00 Cr.upf
Fe 55.84 Fe.upf
Si 28.09 Si.upf
CELL_PARAMETERS angstrom
0.000 2.877 2.877
2.877 0.000 2.877
2.877 2.877 0.000
ATOMIC_POSITIONS crystal
Cr 0.000 0.000 0.000
Fe 0.250 0.250 0.250
Si 0.500 0.500 0.500
Si 0.750 0.750 0.750
```



No. 2
This record from the Alexandria database describes CrFe2Si after structural relaxation. The functional is PBE. Values from VASP.

Properties
Volume: 44.50 Å³/cell
Uncorrected formation energy: -0.01 eV per atom
Fermi-level density of states: 0.83 states/eV per atom
Total magnetic moment: 1.6 μB/f.u.

Structure (Quantum ESPRESSO input):
```
&SYSTEM
  ibrav = 0, nat = 4, ntyp = 3
/
ATOMIC_SPECIES
Cr 52.00 Cr.upf
Fe 55.84 Fe.upf
Si 28.09 Si.upf
CELL_PARAMETERS angstrom
1.287 0.743 7.751
-1.287 0.743 7.751
0.000 -1.487 7.751
ATOMIC_POSITIONS crystal
Cr 0.000 0.000 0.000
Fe 0.249 0.249 0.249
Fe 0.751 0.751 0.751
Si 0.500 0.500 0.500
```



No. 3
This record from the Alexandria database describes CrFeSi2 after structural relaxation. The functional is PBE. Values from VASP.

Properties
Volume: 45.73 Å³/cell
Uncorrected formation energy: -0.20 eV per atom
Fermi-level density of states: 0.82 states/eV per atom
Total magnetic moment: 0.0 μB/f.u.

Structure (Quantum ESPRESSO input):
```
&SYSTEM
  ibrav = 0, nat = 4, ntyp = 3
/
ATOMIC_SPECIES
Cr 52.00 Cr.upf
Fe 55.84 Fe.upf
Si 28.09 Si.upf
CELL_PARAMETERS angstrom
-1.393 1.905 4.308
1.393 -1.905 4.308
1.393 1.905 -4.308
ATOMIC_POSITIONS crystal
Cr 0.000 0.000 0.000
Fe 0.750 0.250 0.500
Si 0.257 0.757 0.500
Si 0.527 0.527 0.000
```